Compound: CaV2Zn
Source: Alexandria
Functional: PBE
Structure: optimized geometry

Calculated values
The total energy comes out at -37.5 eV per cell. The value obtained for the calculated formation energy is 695 meV per atom. Its volume is 172.0 Å³/cell.

Cell: 4.1739 4.1739 10.3068 Å, 78.32 78.32 90.00°
Last column: nearest neighbours and their distance in Å.
Sites, in units of the cell vectors:
Ca 0.5000 0.5000 0.0000  4 Zn 2.95
Ca 0.2500 0.7500 0.5000  4 Zn 2.95
V 0.8750 0.1251 0.7500  2 V 2.09
V 0.8751 0.1250 0.2500  2 V 2.09
V 0.8749 0.6250 0.2500  2 V 2.09
V 0.3750 0.1249 0.7500  2 V 2.09
Zn 0.0000 0.0000 0.0000  4 V 2.68, 4 Ca 2.95
Zn 0.7500 0.2500 0.5000  4 V 2.68, 4 Ca 2.95

Compound: Ca2VZn
Source: Alexandria
Functional: PBE
Structure: optimized geometry

Calculated values
The total energy comes out at -24.2 eV per cell. The value obtained for the calculated formation energy is 569 meV per atom. Its volume is 211.7 Å³/cell.

Cell: 8.2691 8.2691 6.6162 Å, 51.32 51.32 90.00°
Last column: nearest neighbours and their distance in Å.
Sites, in units of the cell vectors:
Ca 0.1036 0.6250 0.2500  2 Zn 2.91, 2 Ca 3.12, 2 V 3.15
Ca 0.8750 0.8964 0.7500  2 Zn 2.91, 2 Ca 3.12, 2 V 3.15
Ca 0.3750 0.3536 0.7500  2 Zn 2.91, 2 Ca 3.12, 2 V 3.15
Ca 0.6464 0.1250 0.2500  2 Zn 2.91, 2 Ca 3.12, 2 V 3.15
Zn 0.0000 0.0000 0.0000  4 Ca 2.91, 2 V 3.10
Zn 0.7500 0.2500 0.5000  4 Ca 2.91, 2 V 3.10
V 0.2500 0.7500 0.5000  2 Zn 3.10, 4 Ca 3.15
V 0.5000 0.5000 0.0000  2 Zn 3.10, 4 Ca 3.15

Compound: CaVZn4
Source: Alexandria
Functional: PBE
Structure: optimized geometry

Calculated values
The total energy comes out at -16.4 eV per cell. The value obtained for the calculated formation energy is -27 meV per atom. Its volume is 104.2 Å³/cell.

Cell: 5.2828 5.2828 5.2828 Å, 60.00 60.00 60.00°
Last column: nearest neighbours and their distance in Å.
Sites, in units of the cell vectors:
Zn 0.6261 0.1218 0.6261  6 Zn 2.62-2.66
Zn 0.6261 0.6261 0.1218  6 Zn 2.62-2.66
Zn 0.1218 0.6261 0.6261  6 Zn 2.62-2.66
Zn 0.6261 0.6261 0.6261  6 Zn 2.62-2.66
Ca 0.2500 0.2500 0.2500  12 Zn 3.10, 4 V 3.24
V 0.0000 0.0000 0.0000  12 Zn 3.09, 4 Ca 3.24

Compound: CaV2Zn2
Source: Alexandria
Functional: PBE
Structure: optimized geometry

Calculated values
The total energy comes out at -20.6 eV per cell. The value obtained for the calculated formation energy is 429 meV per atom. Its volume is 95.9 Å³/cell. Its offset from the most stable computed form is 1.28 eV/f.u.

Cell: 4.2993 4.2993 6.0122 Å, 69.05 69.05 90.00°
Last column: nearest neighbours and their distance in Å.
Sites, in units of the cell vectors:
V 0.5912 0.5912 0.8176  1 V 1.89
V 0.4088 0.4088 0.1824  1 V 1.89
Zn 0.2500 0.7500 0.5000  4 V 2.71
Zn 0.7500 0.2500 0.5000  4 V 2.71
Ca 0.0000 0.0000 0.0000  8 V 3.18, 8 Zn 3.37

Compound: CaV2Zn2
Source: Alexandria
Functional: PBE
Structure: optimized geometry

Calculated values
The total energy comes out at -21.6 eV per cell. The value obtained for the calculated formation energy is 247 meV per atom. Its volume is 91.2 Å³/cell. Its offset from the most stable computed form is 0.37 eV/f.u.

Cell: 3.7663 3.7663 6.9588 Å, 74.30 74.30 90.00°
Last column: nearest neighbours and their distance in Å.
Sites, in units of the cell vectors:
Zn 0.6036 0.6036 0.7927  4 V 2.66, 1 Zn 2.67, 4 Ca 2.98
Zn 0.3964 0.3964 0.2073  4 V 2.66, 1 Zn 2.67, 4 Ca 2.98
V 0.2500 0.7500 0.5000  4 Zn 2.66, 4 V 2.66
V 0.7500 0.2500 0.5000  4 Zn 2.66, 4 V 2.66
Ca 0.0000 0.0000 0.0000  8 Zn 2.98

Compound: CaV2Zn2
Source: Alexandria
Functional: PBE
Structure: optimized geometry

Calculated values
The total energy comes out at -43.8 eV per cell. The value obtained for the calculated formation energy is 173 meV per atom. Its volume is 174.6 Å³/cell. Its offset from the most stable computed form is 0.00 eV/f.u.

Cell: 7.6446 7.6446 2.9877 Å, 90.00 90.00 90.00°
Last column: nearest neighbours and their distance in Å.
Sites, in units of the cell vectors:
V 0.0903 0.4097 0.0000  1 V 1.95
V 0.5903 0.0903 0.0000  1 V 1.95
V 0.4097 0.9097 0.0000  1 V 1.95
V 0.9097 0.5903 0.0000  1 V 1.95
Zn 0.8012 0.3012 0.5000  6 V 2.73-2.79, 2 Zn 2.99
Zn 0.3012 0.1988 0.5000  6 V 2.73-2.79, 2 Zn 2.99
Zn 0.6988 0.8012 0.5000  6 V 2.73-2.79, 2 Zn 2.99
Zn 0.1988 0.6988 0.5000  6 V 2.73-2.79, 2 Zn 2.99
Ca 0.5000 0.5000 0.0000  2 Ca 2.99, 8 Zn 3.14, 4 V 3.21
Ca 0.0000 0.0000 0.0000  2 Ca 2.99, 8 Zn 3.14, 4 V 3.21

Compound: CaV2Zn2
Source: Alexandria
Functional: PBE
Structure: optimized geometry

Calculated values
The total energy comes out at -42.5 eV per cell. The value obtained for the calculated formation energy is 305 meV per atom. Its volume is 175.1 Å³/cell. Its offset from the most stable computed form is 0.66 eV/f.u.

Cell: 7.8866 7.8866 2.8148 Å, 90.00 90.00 90.00°
Last column: nearest neighbours and their distance in Å.
Sites, in units of the cell vectors:
V 0.3970 0.1030 0.5000  1 V 2.30
V 0.6030 0.8970 0.5000  1 V 2.30
V 0.1030 0.6030 0.5000  1 V 2.30
V 0.8970 0.3970 0.5000  1 V 2.30
Zn 0.6853 0.1853 0.0000  6 V 2.75, 2 Zn 2.81, 2 Ca 2.88
Zn 0.8147 0.6853 0.0000  6 V 2.75, 2 Zn 2.81, 2 Ca 2.88
Zn 0.1853 0.3147 0.0000  6 V 2.75, 2 Zn 2.81, 2 Ca 2.88
Zn 0.3147 0.8147 0.0000  6 V 2.75, 2 Zn 2.81, 2 Ca 2.88
Ca 0.5000 0.5000 0.0000  2 Ca 2.81, 4 Zn 2.88
Ca 0.0000 0.0000 0.0000  2 Ca 2.81, 4 Zn 2.88

Compound: CaZr2V
Source: Alexandria
Functional: PBE
Structure: optimized geometry

Calculated values
The total energy comes out at -46.2 eV per cell. The value obtained for the calculated formation energy is 1285 meV per atom. Its volume is 291.1 Å³/cell. Its offset from the most stable computed form is 3.24 eV/f.u.

Cell: 7.3520 7.3520 7.4858 Å, 60.59 60.59 90.00°
Last column: nearest neighbours and their distance in Å.
Sites, in units of the cell vectors:
Zr 0.8743 0.6250 0.2500  2 V 2.28
Zr 0.8750 0.1257 0.7500  2 V 2.28
Zr 0.3750 0.1243 0.7500  2 V 2.28
Zr 0.8757 0.1250 0.2500  2 V 2.28
V 0.7500 0.2500 0.5000  4 Zr 2.28
V 0.0000 0.0000 0.0000  4 Zr 2.28
Ca 0.2500 0.7500 0.5000  12 Zr 4.32-4.44, 4 Ca 4.56, 4 V 4.56
Ca 0.5000 0.5000 0.0000  12 Zr 4.32-4.44, 4 Ca 4.56, 4 V 4.56

Compound: CaZr2V
Source: Alexandria
Functional: PBE
Structure: optimized geometry

Calculated values
The total energy comes out at -26.3 eV per cell. The value obtained for the calculated formation energy is 474 meV per atom. Its volume is 95.4 Å³/cell. Its offset from the most stable computed form is 0.00 eV/f.u.

Cell: 3.2251 3.2251 10.7529 Å, 81.38 81.38 60.00°
Last column: nearest neighbours and their distance in Å.
Sites, in units of the cell vectors:
Zr 0.0997 0.0997 0.7010  3 V 2.83, 1 Ca 3.17
Zr 0.9003 0.9003 0.2990  3 V 2.83, 1 Ca 3.17
Ca 0.0000 0.0000 0.0000  2 Zr 3.17, 6 Ca 3.23
V 0.5000 0.5000 0.5000  6 Zr 2.83

Compound: CaZr3V
Source: Alexandria
Functional: PBE
Structure: optimized geometry

Calculated values
The total energy comes out at -34.2 eV per cell. The value obtained for the calculated formation energy is 513 meV per atom. Its volume is 129.3 Å³/cell. Its offset from the most stable computed form is 0.00 eV/f.u.

Cell: 5.0571 5.0571 5.0571 Å, 90.00 90.00 90.00°
Last column: nearest neighbours and their distance in Å.
Sites, in units of the cell vectors:
V 0.0000 0.0000 0.0000  6 Zr 2.53
Zr 0.5000 0.0000 0.0000  2 V 2.53
Zr 0.0000 0.5000 0.0000  2 V 2.53
Zr 0.0000 0.0000 0.5000  2 V 2.53
Ca 0.5000 0.5000 0.5000  12 Zr 3.58

Compound: Ca2Zr2V
Source: Alexandria
Functional: PBE
Structure: optimized geometry

Calculated values
The total energy comes out at -50.1 eV per cell. The value obtained for the calculated formation energy is 1038 meV per atom. Its volume is 261.4 Å³/cell. Its offset from the most stable computed form is 1.27 eV/f.u.

Cell: 8.9220 8.9220 3.2844 Å, 90.00 90.00 90.00°
Last column: nearest neighbours and their distance in Å.
Sites, in units of the cell vectors:
Zr 0.3234 0.1766 0.5000  6 Ca 2.99-3.19, 2 Zr 3.28
Zr 0.8234 0.3234 0.5000  6 Ca 2.99-3.19, 2 Zr 3.28
Zr 0.1766 0.6766 0.5000  6 Ca 2.99-3.19, 2 Zr 3.28
Zr 0.6766 0.8234 0.5000  6 Ca 2.99-3.19, 2 Zr 3.28
Ca 0.8746 0.6254 0.0000  6 Zr 2.99-3.19, 3 Ca 3.16-3.28
Ca 0.6254 0.1254 0.0000  6 Zr 2.99-3.19, 3 Ca 3.16-3.28
Ca 0.1254 0.3746 0.0000  6 Zr 2.99-3.19, 3 Ca 3.16-3.28
Ca 0.3746 0.8746 0.0000  6 Zr 2.99-3.19, 3 Ca 3.16-3.28
V 0.0000 0.0000 0.0000  2 V 3.28, 4 Ca 3.52, 8 Zr 3.67
V 0.5000 0.5000 0.0000  2 V 3.28, 4 Ca 3.52, 8 Zr 3.67

Compound: CaZrV2
Source: Alexandria
Functional: PBE
Structure: optimized geometry

Calculated values
The total energy comes out at -48.6 eV per cell. The value obtained for the calculated formation energy is 1124 meV per atom. Its volume is 191.6 Å³/cell. Its offset from the most stable computed form is 1.74 eV/f.u.

Cell: 4.4694 4.4694 10.0984 Å, 77.21 77.21 90.00°
Last column: nearest neighbours and their distance in Å.
Sites, in units of the cell vectors:
V 0.9509 0.6250 0.2500  2 V 2.34
V 0.8750 0.0491 0.7500  2 V 2.34
V 0.3750 0.2009 0.7500  2 V 2.34
V 0.7991 0.1250 0.2500  2 V 2.34
Zr 0.0000 0.0000 0.0000  4 V 2.67
Zr 0.7500 0.2500 0.5000  4 V 2.67
Ca 0.5000 0.5000 0.0000  4 Zr 3.16, 4 V 3.25
Ca 0.2500 0.7500 0.5000  4 Zr 3.16, 4 V 3.25